[1]
A plane-wave DFT calculation with PBE-GGA was carried out for an optimized crystal structure of ZnHPb2F.

Electronic total energy in eV/atom: -2.76
Volume in A^3/atom: 23.71

Cell lengths 5.440, 5.440, 4.007 Å; angles 90.00, 90.00, 90.00 degrees
Space group P4/mmm (No. 123)
Symmetry-distinct sites (fractional):
Zn: 0.000 0.000 0.000
H: 0.500 0.500 0.500
Pb: 0.000 0.500 0.000
F: 0.000 0.000 0.500



[2]
A plane-wave DFT calculation with PBE-GGA was carried out for an optimized crystal structure of ZnH2PbF8.

Electronic total energy in eV/atom: -4.08
Volume in A^3/atom: 12.89

Cell lengths 4.828, 4.895, 6.698 Å; angles 89.31, 83.31, 79.72 degrees
Space group P-1 (No. 2)
Symmetry-distinct sites (fractional):
Zn: 0.000 0.000 0.000
H: 0.459 0.253 0.867
Pb: 0.000 0.000 0.500
F: 0.198 0.801 0.749
F: 0.256 0.804 0.219
F: 0.262 0.278 0.501
F: 0.275 0.286 0.957



[3]
A plane-wave DFT calculation with PBE-GGA was carried out for an optimized crystal structure of ZnH2PbF.

Electronic total energy in eV/atom: -2.86
Volume in A^3/atom: 16.71

Cell lengths 4.161, 4.161, 4.824 Å; angles 90.00, 90.00, 90.00 degrees
Space group P4/mmm (No. 123)
Symmetry-distinct sites (fractional):
Zn: 0.000 0.000 0.000
H: 0.000 0.500 0.500
Pb: 0.500 0.500 0.500
F: 0.500 0.500 0.000



[4]
A plane-wave DFT calculation with PBE-GGA was carried out for an optimized crystal structure of H2PdF8.

Energy above the lowest structure with this stoichiometry in meV/atom: 0
Electronic total energy in eV/atom: -3.52
Volume in A^3/atom: 12.72

Cell lengths 4.715, 5.322, 5.655 Å; angles 81.18, 86.97, 86.92 degrees
Space group P-1 (No. 2)
Symmetry-distinct sites (fractional):
H: 0.248 0.063 0.365
Pd: 0.500 0.500 0.000
F: 0.243 0.882 0.426
F: 0.250 0.357 0.260
F: 0.259 0.798 0.954
F: 0.291 0.353 0.784



[5]
A plane-wave DFT calculation with PBE-GGA was carried out for an optimized crystal structure of HPdF5.

Electronic total energy in eV/atom: -3.79
Volume in A^3/atom: 12.78

Cell lengths 5.831, 9.391, 6.948 Å; angles 90.00, 109.83, 90.00 degrees
Space group C2/c (No. 15)
Symmetry-distinct sites (fractional):
H: 0.000 0.163 0.250
Pd: 0.250 0.250 0.000
F: 0.000 0.333 0.750
F: 0.011 0.159 0.419
F: 0.225 0.415 0.154



[6]
A plane-wave DFT calculation with PBE-GGA was carried out for an optimized crystal structure of HPdF4.

Energy above the lowest structure with this stoichiometry in meV/atom: 73
Electronic total energy in eV/atom: -3.90
Volume in A^3/atom: 10.96

Cell lengths 6.096, 4.769, 4.526 Å; angles 90.00, 90.00, 90.00 degrees
Space group Pmn2_1 (No. 31)
Symmetry-distinct sites (fractional):
H: 0.000 0.026 0.000
Pd: 0.000 0.506 0.476
F: 0.000 0.121 0.199
F: 0.000 0.853 0.735
F: 0.247 0.343 0.726



[7]
A plane-wave DFT calculation with PBE-GGA was carried out for an optimized crystal structure of HPdF4.

Energy above the lowest structure with this stoichiometry in meV/atom: 0
Electronic total energy in eV/atom: -3.98
Volume in A^3/atom: 14.77

Cell lengths 4.785, 13.273, 5.733 Å; angles 90.00, 103.26, 90.00 degrees
Space group C2/c (No. 15)
Symmetry-distinct sites (fractional):
H: 0.000 0.163 0.250
Pd: 0.000 0.441 0.750
F: 0.227 0.453 0.136
F: 0.242 0.166 0.340



[8]
A plane-wave DFT calculation with PBE-GGA was carried out for an optimized crystal structure of H3PdF8.

Electronic total energy in eV/atom: -3.71
Volume in A^3/atom: 12.23

Cell lengths 5.202, 10.226, 5.786 Å; angles 90.00, 107.55, 90.00 degrees
Space group P2_1 (No. 4)
Symmetry-distinct sites (fractional):
H: 0.026 0.000 0.192
H: 0.192 0.505 0.586
H: 0.433 0.491 0.304
Pd: 0.157 0.877 0.837
F: 0.050 0.257 0.050
F: 0.105 0.780 0.545
F: 0.185 0.481 0.344
F: 0.191 0.519 0.759
F: 0.205 0.986 0.141
F: 0.381 0.014 0.713
F: 0.456 0.740 0.481
F: 0.475 0.787 0.997



[9]
A plane-wave DFT calculation with PBE-GGA was carried out for an optimized crystal structure of H2PdF8.

Energy above the lowest structure with this stoichiometry in meV/atom: 15
Electronic total energy in eV/atom: -3.50
Volume in A^3/atom: 12.10

Cell lengths 9.334, 5.573, 5.117 Å; angles 90.00, 90.79, 90.00 degrees
Space group C2/m (No. 12)
Symmetry-distinct sites (fractional):
H: 0.127 0.000 0.445
Pd: 0.000 0.500 0.000
F: 0.113 0.500 0.695
F: 0.119 0.259 0.149
F: 0.132 0.000 0.631



[10]
A plane-wave DFT calculation with PBE-GGA was carried out for an optimized crystal structure of Rb2H2PdF6.

Electronic total energy in eV/atom: -4.23
Volume in A^3/atom: 16.25

Cell lengths 10.961, 5.645, 6.411 Å; angles 90.00, 115.70, 90.00 degrees
Space group C2/m (No. 12)
Symmetry-distinct sites (fractional):
Rb: 0.202 0.000 0.186
H: 0.058 0.500 0.280
Pd: 0.000 0.000 0.500
F: 0.060 0.245 0.751
F: 0.152 0.500 0.303



[11]
A plane-wave DFT calculation with PBE-GGA was carried out for an optimized crystal structure of RbH2PdF8.

Electronic total energy in eV/atom: -3.89
Volume in A^3/atom: 14.88

Cell lengths 4.922, 5.005, 8.016 Å; angles 91.58, 102.12, 111.44 degrees
Space group P-1 (No. 2)
Symmetry-distinct sites (fractional):
Rb: 0.000 0.000 0.000
H: 0.300 0.518 0.796
Pd: 0.000 0.000 0.500
F: 0.217 0.242 0.353
F: 0.230 0.768 0.499
F: 0.284 0.237 0.706
F: 0.324 0.661 0.889



[12]
A plane-wave DFT calculation with PBE-GGA was carried out for an optimized crystal structure of Rb2HPdF6.

Energy above the lowest structure with this stoichiometry in meV/atom: 284
Electronic total energy in eV/atom: -3.87
Volume in A^3/atom: 14.60

Cell lengths 5.473, 5.473, 9.749 Å; angles 90.00, 90.00, 90.00 degrees
Space group I4/mmm (No. 139)
Symmetry-distinct sites (fractional):
Rb: 0.000 0.500 0.250
H: 0.000 0.000 0.000
Pd: 0.000 0.000 0.500
F: 0.000 0.000 0.298
F: 0.226 0.226 0.000



[13]
A plane-wave DFT calculation with PBE-GGA was carried out for an optimized crystal structure of Rb2HPdF6.

Energy above the lowest structure with this stoichiometry in meV/atom: 0
Electronic total energy in eV/atom: -4.16
Volume in A^3/atom: 16.39

Cell lengths 6.672, 6.672, 7.364 Å; angles 90.00, 90.00, 90.00 degrees
Space group I4mm (No. 107)
Symmetry-distinct sites (fractional):
Rb: 0.000 0.500 0.000
H: 0.000 0.000 0.250
Pd: 0.000 0.000 0.759
F: 0.000 0.000 0.053
F: 0.000 0.000 0.386
F: 0.209 0.209 0.750



[14]
A plane-wave DFT calculation with PBE-GGA was carried out for an optimized crystal structure of ReH2PdF.

Electronic total energy in eV/atom: -4.52
Volume in A^3/atom: 12.02

Cell lengths 3.378, 3.378, 5.269 Å; angles 90.00, 90.00, 90.00 degrees
Space group P4/mmm (No. 123)
Symmetry-distinct sites (fractional):
Re: 0.000 0.000 0.000
H: 0.000 0.500 0.500
Pd: 0.500 0.500 0.500
F: 0.500 0.500 0.000



[15]
A plane-wave DFT calculation with PBE-GGA was carried out for an optimized crystal structure of PmHF4.

Energy above the lowest structure with this stoichiometry in meV/atom: 0
Electronic total energy in eV/atom: -5.82
Volume in A^3/atom: 14.83

Cell lengths 5.413, 16.105, 4.083 Å; angles 90.00, 90.00, 90.00 degrees
Space group Cmcm (No. 63)
Symmetry-distinct sites (fractional):
Pm: 0.000 0.180 0.250
H: 0.000 0.425 0.750
F: 0.212 0.422 0.750
F: 0.232 0.200 0.750



[16]
A plane-wave DFT calculation with PBE-GGA was carried out for an optimized crystal structure of PmHF4.

Energy above the lowest structure with this stoichiometry in meV/atom: 52
Electronic total energy in eV/atom: -5.77
Volume in A^3/atom: 14.73

Cell lengths 7.173, 7.173, 6.871 Å; angles 90.00, 90.00, 90.00 degrees
Space group I4_1md (No. 109)
Symmetry-distinct sites (fractional):
Pm: 0.000 0.000 0.000
H: 0.000 0.000 0.624
F: 0.000 0.187 0.262
F: 0.000 0.342 0.912



[17]
A plane-wave DFT calculation with PBE-GGA was carried out for an optimized crystal structure of PmH6F12.

Electronic total energy in eV/atom: -4.27
Volume in A^3/atom: 12.31

Cell lengths 5.993, 6.141, 7.055 Å; angles 74.30, 70.38, 78.94 degrees
Space group P-1 (No. 2)
Symmetry-distinct sites (fractional):
Pm: 0.000 0.000 0.000
H: 0.233 0.883 0.554
H: 0.255 0.634 0.409
H: 0.468 0.223 0.046
F: 0.104 0.371 0.823
F: 0.124 0.489 0.371
F: 0.156 0.999 0.642
F: 0.262 0.182 0.068
F: 0.352 0.740 0.425
F: 0.357 0.752 0.967



[18]
A plane-wave DFT calculation with PBE-GGA was carried out for an optimized crystal structure of PmH2F6.

Energy above the lowest structure with this stoichiometry in meV/atom: 0
Electronic total energy in eV/atom: -5.00
Volume in A^3/atom: 11.10

Cell lengths 11.223, 6.272, 5.713 Å; angles 90.00, 96.53, 90.00 degrees
Space group C2/c (No. 15)
Symmetry-distinct sites (fractional):
Pm: 0.000 0.237 0.250
H: 0.209 0.125 0.671
F: 0.066 0.391 0.881
F: 0.105 0.055 0.578
F: 0.210 0.308 0.257



[19]
A plane-wave DFT calculation with PBE-GGA was carried out for an optimized crystal structure of PmHF2.

Energy above the lowest structure with this stoichiometry in meV/atom: 0
Electronic total energy in eV/atom: -5.65
Volume in A^3/atom: 11.52

Cell lengths 5.692, 5.692, 5.692 Å; angles 90.00, 90.00, 90.00 degrees
Space group Fm-3m (No. 225)
Symmetry-distinct sites (fractional):
Pm: 0.000 0.000 0.000
H: 0.000 0.000 0.500
F: 0.250 0.250 0.250



[20]
A plane-wave DFT calculation with PBE-GGA was carried out for an optimized crystal structure of PmH2F5.

Electronic total energy in eV/atom: -5.39
Volume in A^3/atom: 12.55

Cell lengths 4.603, 5.200, 5.203 Å; angles 78.82, 63.86, 63.90 degrees
Space group P-1 (No. 2)
Symmetry-distinct sites (fractional):
Pm: 0.000 0.000 0.000
H: 0.000 0.500 0.500
H: 0.500 0.500 0.500
F: 0.066 0.273 0.595
F: 0.340 0.595 0.727
F: 0.500 0.000 0.000